Record 1
Li2AgOsS: optimized geometry, PBE.

It has space group P4/mmm (No. 123), with a = 4.319 Å, b = 4.319 Å, c = 5.052 Å, α = 90.00°, β = 90.00° and γ = 90.00°. The asymmetric unit holds Li at (0.000, 0.500, 0.000), Ag at (0.000, 0.000, 0.500), Os at (0.500, 0.500, 0.500) and S at (0.000, 0.000, 0.000).

For the energy relative to the elements, uncorrected, the calculation gives 633 meV/atom. The total energy is -3.77 eV per atom.



Record 2
LiSiAgOs2: optimized geometry, PBE.

It has space group P4/mmm (No. 123), with a = 4.240 Å, b = 4.240 Å, c = 4.001 Å, α = 90.00°, β = 90.00° and γ = 90.00°. The asymmetric unit holds Li at (0.000, 0.000, 0.000), Si at (0.500, 0.500, 0.500), Ag at (0.000, 0.000, 0.500) and Os at (0.000, 0.500, 0.000).

For the energy relative to the elements, uncorrected, the calculation gives 1373 meV/atom. The total energy is -5.16 eV per atom.